The following is a GGA-PBE calculation of crystalline Zn2SbSe at its relaxed geometry, from Alexandria via LeMat-Bulk.

As for the crystal system: monoclinic. As for the formation energy from raw total energies: 0.0017 eV per atom. As for the density of states at the Fermi level: 1.4 states/eV/f.u. Its total moment is 0.00 μB per cell.

The structure belongs to space group C2/m (No. 12); the cell edges are 5.850, 7.815 and 4.303 Å and the angles 90.00°, 116.65° and 90.00°. The distinct sites, in fractional coordinates, are Zn at (0.250, 0.250, 0.000), Sb at (0.000, 0.000, 0.500) and Se at (0.000, 0.500, 0.500).